The following is a GGA+U calculation of an optimized crystal structure of Cs4La3CrO8, from the Alexandria database.

Output
The calculation puts the total DFT energy (no corrections) at -101.1 eV/f.u. The symmetry is R-3m, No. 166.

```
16
Lattice="3.6563 2.1110 6.8778 -3.6563 2.1110 6.8778 0.0000 -4.2220 6.8778" Properties=species:S:1:pos:R:3 pbc="T T T"
Cs 0.0000 0.0000 0.0000
Cs -1.8282 -1.0555 6.8778
Cs -1.8282 1.0555 13.7556
Cs 0.0000 2.1110 6.8778
La -3.6563 0.0000 10.3167
La -1.8282 1.0555 3.4389
La 1.8282 1.0555 3.4389
Cr 0.0000 0.0000 10.3167
O 0.0000 0.0000 4.6158
O -1.6697 -0.9640 11.4394
O 0.0000 -1.9280 9.1940
O -1.6697 0.9640 9.1940
O 1.6697 -0.9640 11.4394
O 0.0000 1.9280 11.4394
O 1.6697 0.9640 9.1940
O 0.0000 0.0000 16.0176
```